Entry 1:
First-principles (PBE-GGA) data for a relaxed PmPr2YHo6 crystal, as listed in Alexandria via LeMat-Bulk.

Values from the calculation:
- Symmetry: C2/c, No. 15
- Formation energy from the elements: 0.12 eV/atom
- Total DFT energy (no corrections): -4.704 eV per atom
- Fermi-level density of states: 1.445 states/eV/atom

a b c (Å): 9.779 8.798 8.798
angles (deg): 118.23 94.83 94.83
Fractional coordinates of all 20 atoms:
Pm 0.250 0.405 0.595
Pm 0.750 0.595 0.405
Pr 0.458 0.810 0.705
Pr 0.042 0.295 0.190
Pr 0.542 0.190 0.295
Pr 0.958 0.705 0.810
Y 0.250 0.983 0.017
Y 0.750 0.017 0.983
Ho 0.057 0.124 0.743
Ho 0.443 0.257 0.876
Ho 0.943 0.876 0.257
Ho 0.557 0.743 0.124
Ho 0.314 0.972 0.421
Ho 0.186 0.579 0.028
Ho 0.686 0.028 0.579
Ho 0.814 0.421 0.972
Ho 0.120 0.708 0.498
Ho 0.380 0.502 0.292
Ho 0.880 0.292 0.502
Ho 0.620 0.498 0.708

Entry 2:
First-principles (PBE-GGA) data for a relaxed CeSmOsPt crystal, as listed in Alexandria via LeMat-Bulk.

Values from the calculation:
- Symmetry: F-43m, No. 216
- Formation energy from the elements: -0.51 eV/atom
- Total DFT energy (no corrections): -7.487 eV per atom
- Fermi-level density of states: 1.194 states/eV/atom

a b c (Å): 4.976 4.976 4.976
angles (deg): 60.00 60.00 60.00
Last column: magnetic moment on the atom in μB.
Fractional coordinates of all 4 atoms:
Ce 0.000 0.000 0.000  0.39
Os 0.250 0.250 0.250  -0.05
Sm 0.500 0.500 0.500  0.01
Pt 0.750 0.750 0.750  -0.01

Entry 3:
First-principles (PBE-GGA) data for a relaxed SrAc2Pt2 crystal, as listed in Alexandria via LeMat-Bulk.

Values from the calculation:
- Symmetry: P2_1/m, No. 11
- Formation energy from the elements: -0.92 eV/atom
- Total DFT energy (no corrections): -5.320 eV per atom
- Fermi-level density of states: 0.575 states/eV/atom

a b c (Å): 4.636 6.120 11.747
angles (deg): 94.87 90.00 90.00
Fractional coordinates of all 10 atoms:
Sr 0.250 0.273 0.954
Sr 0.750 0.727 0.046
Ac 0.250 0.363 0.621
Ac 0.250 0.118 0.286
Ac 0.750 0.882 0.714
Ac 0.750 0.637 0.379
Pt 0.750 0.393 0.797
Pt 0.750 0.155 0.457
Pt 0.250 0.845 0.543
Pt 0.250 0.607 0.203

Entry 4:
First-principles (PBE-GGA) data for a relaxed Pm6ZnOs2Cl3 crystal, as listed in Alexandria via LeMat-Bulk.

Values from the calculation:
- Symmetry: C2/m, No. 12
- Total DFT energy (no corrections): -5.645 eV per atom
- ΔE_f (raw): -0.830 eV per atom
- Fermi-level density of states: 0.480 states/eV/atom

a b c (Å): 7.122 7.122 7.916
angles (deg): 98.47 98.47 120.27
Fractional coordinates of all 12 atoms:
Pm 0.933 0.575 0.791
Pm 0.713 0.713 0.212
Pm 0.067 0.425 0.209
Pm 0.575 0.933 0.791
Pm 0.287 0.287 0.788
Pm 0.425 0.067 0.209
Zn 0.000 0.000 0.000
Os 0.335 0.665 0.000
Os 0.665 0.335 0.000
Cl 0.173 0.827 0.500
Cl 0.827 0.173 0.500
Cl 0.500 0.500 0.500

Entry 5:
First-principles (PBE-GGA) data for a relaxed Tb5Dy2YTh crystal, as listed in Alexandria via LeMat-Bulk.

Values from the calculation:
- Symmetry: Cmc2_1, No. 36
- Formation energy from the elements: 0.16 eV/atom
- Total DFT energy (no corrections): -4.979 eV per atom
- Fermi-level density of states: 1.370 states/eV/atom

a b c (Å): 5.716 11.128 9.730
angles (deg): 90.00 90.00 104.88
Fractional coordinates of all 18 atoms:
Tb 0.399 0.798 0.042
Tb 0.728 0.456 0.822
Tb 0.469 0.937 0.743
Tb 0.304 0.608 0.717
Tb 0.985 0.970 0.517
Tb 0.601 0.202 0.542
Tb 0.272 0.544 0.322
Tb 0.531 0.063 0.243
Tb 0.696 0.392 0.217
Tb 0.015 0.030 0.017
Dy 0.884 0.768 0.831
Dy 0.128 0.257 0.711
Dy 0.116 0.232 0.331
Dy 0.872 0.743 0.211
Y 0.810 0.620 0.517
Y 0.190 0.380 0.017
Th 0.595 0.189 0.923
Th 0.405 0.811 0.423

Entry 6:
First-principles (PBE-GGA) data for a relaxed YTaCu3 crystal, as listed in Alexandria via LeMat-Bulk.

Values from the calculation:
- Excess energy over the best structure of this formula in the dataset: 0.00 kcal/mol of atoms
- Symmetry: Pm-3m, No. 221
- Formation energy from the elements: 0.76 eV/atom
- Total DFT energy (no corrections): -5.361 eV per atom
- Fermi-level density of states: 1.181 states/eV/atom

a b c (Å): 4.741 4.741 4.741
angles (deg): 90.00 90.00 90.00
Fractional coordinates of all 5 atoms:
Y 0.500 0.500 0.500
Cu 0.000 0.500 0.000
Cu 0.000 0.000 0.500
Cu 0.500 0.000 0.000
Ta 0.000 0.000 0.000

Entry 7:
First-principles (PBE-GGA) data for a relaxed Ca2Cu3Ge5 crystal, as listed in Alexandria via LeMat-Bulk.

Values from the calculation:
- Excess energy over the best structure of this formula in the dataset: 1.99 kcal/mol of atoms
- Symmetry: Cmc2_1, No. 36
- Formation energy from the elements: -0.24 eV/atom
- Total DFT energy (no corrections): -4.175 eV per atom
- Fermi-level density of states: 0.490 states/eV/atom

a b c (Å): 4.322 7.004 12.291
angles (deg): 90.00 100.13 90.00
Fractional coordinates of all 20 atoms:
Ca 0.482 0.741 0.963
Ca 0.174 0.736 0.348
Ca 0.826 0.236 0.652
Ca 0.518 0.241 0.037
Cu 0.777 0.729 0.554
Cu 0.604 0.539 0.209
Cu 0.054 0.950 0.107
Cu 0.223 0.229 0.446
Cu 0.946 0.450 0.893
Cu 0.396 0.039 0.791
Ge 0.399 0.408 0.797
Ge 0.291 0.528 0.581
Ge 0.709 0.028 0.419
Ge 0.119 0.252 0.237
Ge 0.296 0.932 0.593
Ge 0.951 0.052 0.901
Ge 0.704 0.432 0.407
Ge 0.881 0.752 0.763
Ge 0.049 0.552 0.099
Ge 0.601 0.908 0.203

Entry 8:
First-principles (PBE-GGA) data for a relaxed Ta6ReMo crystal, as listed in Alexandria via LeMat-Bulk.

Values from the calculation:
- Excess energy over the best structure of this formula in the dataset: 0.00 kcal/mol of atoms
- Symmetry: I4/mmm, No. 139
- Formation energy from the elements: -0.19 eV/atom
- Total DFT energy (no corrections): -11.986 eV per atom
- Fermi-level density of states: 0.872 states/eV/atom

a b c (Å): 4.569 4.569 7.407
angles (deg): 72.03 72.03 90.00
Fractional coordinates of all 8 atoms:
Ta 0.750 0.750 0.501
Ta 0.619 0.119 0.761
Ta 0.119 0.619 0.761
Ta 0.381 0.881 0.239
Ta 0.250 0.250 0.499
Ta 0.881 0.381 0.239
Re 0.000 0.000 0.000
Mo 0.500 0.500 0.000

Entry 9:
First-principles (PBE-GGA) data for a relaxed Sr3Sc2Ge3O12 crystal, as listed in Alexandria via LeMat-Bulk.

Values from the calculation:
- Symmetry: Ia-3d, No. 230
- Total DFT energy (no corrections): -7.210 eV per atom
- ΔE_f (raw): -2.657 eV per atom
- Fermi-level density of states: 0.000 states/eV/atom

a b c (Å): 11.210 11.210 11.210
angles (deg): 109.47 109.47 109.47
Fractional coordinates of all 80 atoms:
Sr 0.250 0.375 0.125
Sr 0.750 0.625 0.875
Sr 0.750 0.125 0.375
Sr 0.125 0.250 0.375
Sr 0.375 0.750 0.125
Sr 0.250 0.875 0.625
Sr 0.875 0.750 0.625
Sr 0.625 0.250 0.875
Sr 0.375 0.125 0.250
Sr 0.625 0.875 0.750
Sr 0.125 0.375 0.750
Sr 0.875 0.625 0.250
Sc 0.000 0.000 0.000
Sc 0.500 0.000 0.500
Sc 0.000 0.500 0.500
Sc 0.500 0.000 0.000
Sc 0.500 0.500 0.000
Sc 0.500 0.500 0.500
Sc 0.000 0.000 0.500
Sc 0.000 0.500 0.000
Ge 0.250 0.625 0.375
Ge 0.750 0.375 0.625
Ge 0.750 0.875 0.125
Ge 0.375 0.250 0.625
Ge 0.625 0.750 0.375
Ge 0.250 0.125 0.875
Ge 0.125 0.750 0.875
Ge 0.875 0.250 0.125
Ge 0.625 0.375 0.250
Ge 0.375 0.625 0.750
Ge 0.875 0.125 0.750
Ge 0.125 0.875 0.250
O 0.490 0.385 0.299
O 0.510 0.615 0.701
O 0.586 0.191 0.201
O 0.914 0.115 0.605
O 0.299 0.490 0.385
O 0.309 0.914 0.299
O 0.414 0.809 0.799
O 0.086 0.885 0.395
O 0.701 0.510 0.615
O 0.691 0.086 0.701
O 0.010 0.309 0.895
O 0.201 0.586 0.191
O 0.115 0.010 0.201
O 0.990 0.691 0.105
O 0.799 0.414 0.809
O 0.885 0.990 0.799
O 0.605 0.914 0.115
O 0.191 0.490 0.605
O 0.395 0.086 0.885
O 0.809 0.510 0.395
O 0.895 0.010 0.309
O 0.385 0.586 0.895
O 0.105 0.990 0.691
O 0.615 0.414 0.105
O 0.385 0.299 0.490
O 0.586 0.895 0.385
O 0.615 0.701 0.510
O 0.414 0.105 0.615
O 0.115 0.605 0.914
O 0.010 0.201 0.115
O 0.885 0.395 0.086
O 0.990 0.799 0.885
O 0.309 0.895 0.010
O 0.914 0.299 0.309
O 0.691 0.105 0.990
O 0.086 0.701 0.691
O 0.191 0.201 0.586
O 0.490 0.605 0.191
O 0.809 0.799 0.414
O 0.510 0.395 0.809
O 0.299 0.309 0.914
O 0.701 0.691 0.086
O 0.201 0.115 0.010
O 0.799 0.885 0.990
O 0.895 0.385 0.586
O 0.105 0.615 0.414
O 0.605 0.191 0.490
O 0.395 0.809 0.510

Entry 10:
First-principles (PBE-GGA) data for a relaxed CoNi crystal, as listed in Alexandria via LeMat-Bulk.

Values from the calculation:
- Symmetry: R3m, No. 160
- Formation energy from the elements: 0.13 eV/atom
- Total DFT energy (no corrections): -6.313 eV per atom
- Fermi-level density of states: 1.345 states/eV/atom

a b c (Å): 2.477 2.477 8.558
angles (deg): 81.68 81.68 60.00
Last column: magnetic moment on the atom in μB.
Fractional coordinates of all 4 atoms:
Co 0.898 0.898 0.305  1.76
Co 0.989 0.989 0.032  1.77
Ni 0.403 0.403 0.791  0.73
Ni 0.151 0.151 0.546  0.74

Entry 11:
First-principles (PBE-GGA) data for a relaxed KRe2Te crystal, as listed in Alexandria via LeMat-Bulk.

Values from the calculation:
- Symmetry: I4/mmm, No. 139
- Total DFT energy (no corrections): -5.724 eV per atom
- ΔE_f (raw): 1.560 eV per atom
- Fermi-level density of states: 0.768 states/eV/atom

a b c (Å): 5.815 5.815 5.815
angles (deg): 139.89 139.89 58.02
Fractional coordinates of all 4 atoms:
K 0.750 0.250 0.500
Re 0.000 0.000 0.000
Re 0.500 0.500 0.000
Te 0.250 0.750 0.500

Entry 12:
First-principles (PBE-GGA) data for a relaxed Li7YAl5 crystal, as listed in Alexandria via LeMat-Bulk.

Values from the calculation:
- Symmetry: Imm2, No. 44
- Formation energy from the elements: -0.18 eV/atom
- Total DFT energy (no corrections): -3.146 eV per atom
- Fermi-level density of states: 0.323 states/eV/atom

a b c (Å): 5.422 7.067 7.067
angles (deg): 81.26 67.44 67.44
Fractional coordinates of all 13 atoms:
Li 0.654 0.346 0.346
Li 0.354 0.646 0.646
Li 0.996 0.355 0.652
Li 0.996 0.652 0.355
Li 0.294 0.206 0.206
Li 0.500 0.789 0.211
Li 0.500 0.211 0.789
Y 0.005 0.995 0.995
Al 0.498 0.001 0.499
Al 0.001 0.001 0.499
Al 0.498 0.499 0.001
Al 0.001 0.499 0.001
Al 0.701 0.799 0.799

Entry 13:
First-principles (PBE-GGA) data for a relaxed Be2CuBr crystal, as listed in Alexandria via LeMat-Bulk.

Values from the calculation:
- Excess energy over the best structure of this formula in the dataset: 13.78 kcal/mol of atoms
- Symmetry: Immm, No. 71
- Total DFT energy (no corrections): -2.589 eV per atom
- ΔE_f (raw): 0.716 eV per atom
- Fermi-level density of states: 0.342 states/eV/atom

a b c (Å): 4.974 4.974 4.974
angles (deg): 145.31 106.99 83.43
Fractional coordinates of all 4 atoms:
Be 0.012 0.012 0.000
Be 0.488 0.488 0.000
Cu 0.250 0.750 0.500
Br 0.750 0.250 0.500

Entry 14:
First-principles (PBE-GGA) data for a relaxed YTmSe crystal, as listed in Alexandria via LeMat-Bulk.

Values from the calculation:
- Excess energy over the best structure of this formula in the dataset: 3.52 kcal/mol of atoms
- Symmetry: I4mm, No. 107
- Total DFT energy (no corrections): -5.763 eV per atom
- ΔE_f (raw): -0.957 eV per atom
- Fermi-level density of states: 1.077 states/eV/atom

a b c (Å): 3.575 3.575 6.578
angles (deg): 105.77 105.77 90.00
Fractional coordinates of all 3 atoms:
Y 0.686 0.686 0.372
Tm 0.979 0.979 0.958
Se 0.335 0.335 0.670

Entry 15:
First-principles (PBE-GGA) data for a relaxed SnPtBr2 crystal, as listed in Alexandria via LeMat-Bulk.

Values from the calculation:
- Excess energy over the best structure of this formula in the dataset: 0.00 kcal/mol of atoms
- Symmetry: I-42d, No. 122
- Total DFT energy (no corrections): -3.204 eV per atom
- ΔE_f (raw): 0.143 eV per atom
- Fermi-level density of states: 0.015 states/eV/atom

a b c (Å): 4.963 4.963 9.491
angles (deg): 74.84 74.84 90.00
Fractional coordinates of all 8 atoms:
Br 0.662 0.125 0.250
Br 0.088 0.625 0.250
Br 0.375 0.338 0.750
Br 0.875 0.912 0.750
Sn 0.500 0.500 0.000
Sn 0.250 0.750 0.500
Pt 0.000 0.000 0.000
Pt 0.750 0.250 0.500

Entry 16:
First-principles (PBE-GGA) data for a relaxed PuHf2Th crystal, as listed in Alexandria via LeMat-Bulk.

Values from the calculation:
- Excess energy over the best structure of this formula in the dataset: 4.88 kcal/mol of atoms
- Symmetry: R-3m, No. 166
- Formation energy from the elements: 0.35 eV/atom
- Total DFT energy (no corrections): -10.064 eV per atom
- Fermi-level density of states: 2.036 states/eV/atom

a b c (Å): 3.240 3.240 11.501
angles (deg): 81.90 81.90 60.00
Last column: magnetic moment on the atom in μB.
Fractional coordinates of all 4 atoms:
Hf 0.092 0.092 0.723  -0.04
Hf 0.908 0.908 0.277  -0.04
Th 0.000 0.000 0.000  0.00
Pu 0.500 0.500 0.500  5.07

Entry 17:
First-principles (PBE-GGA) data for a relaxed NaIn4Pd2Pt crystal, as listed in Alexandria via LeMat-Bulk.

Values from the calculation:
- Symmetry: R-3m, No. 166
- Formation energy from the elements: -0.34 eV/atom
- Total DFT energy (no corrections): -3.928 eV per atom
- Fermi-level density of states: 0.252 states/eV/atom

a b c (Å): 4.760 4.760 8.338
angles (deg): 73.42 73.42 60.00
Fractional coordinates of all 8 atoms:
Na 0.000 0.000 0.000
In 0.381 0.381 0.857
In 0.869 0.869 0.392
In 0.131 0.131 0.608
In 0.619 0.619 0.143
Pd 0.743 0.743 0.771
Pd 0.257 0.257 0.229
Pt 0.500 0.500 0.500

Entry 18:
First-principles (PBE-GGA) data for a relaxed K4Rb2NaPb2 crystal, as listed in Alexandria via LeMat-Bulk.

Values from the calculation:
- Symmetry: C2/m, No. 12
- Formation energy from the elements: -0.05 eV/atom
- Total DFT energy (no corrections): -1.718 eV per atom
- Fermi-level density of states: 0.802 states/eV/atom

a b c (Å): 6.147 9.774 9.774
angles (deg): 59.92 73.10 73.10
Last column: magnetic moment on the atom in μB.
Fractional coordinates of all 9 atoms:
K 0.152 0.648 0.063  0.01
K 0.848 0.937 0.352  0.01
K 0.848 0.352 0.937  0.01
K 0.152 0.063 0.648  0.01
Rb 0.351 0.640 0.640  0.00
Rb 0.649 0.360 0.360  0.00
Na 0.500 0.000 0.000  0.00
Pb 0.294 0.203 0.203  0.17
Pb 0.706 0.797 0.797  0.17

Entry 19:
First-principles (PBE-GGA) data for a relaxed Fe2PCl crystal, as listed in Alexandria via LeMat-Bulk.

Values from the calculation:
- Excess energy over the best structure of this formula in the dataset: 16.82 kcal/mol of atoms
- Symmetry: I-4m2, No. 119
- Total DFT energy (no corrections): -5.619 eV per atom
- ΔE_f (raw): 0.427 eV per atom
- Fermi-level density of states: 1.198 states/eV/atom

a b c (Å): 6.194 6.194 6.194
angles (deg): 148.76 148.76 44.76
Last column: magnetic moment on the atom in μB.
Fractional coordinates of all 4 atoms:
Cl 0.750 0.250 0.500  0.15
Fe 0.000 0.000 0.000  2.56
Fe 0.250 0.750 0.500  3.06
P 0.500 0.500 0.000  0.09

Entry 20:
First-principles (PBE-GGA) data for a relaxed La2InCu2Pt5 crystal, as listed in Alexandria via LeMat-Bulk.

Values from the calculation:
- Symmetry: P4/mbm, No. 127
- Formation energy from the elements: -0.78 eV/atom
- Total DFT energy (no corrections): -5.877 eV per atom
- Fermi-level density of states: 0.336 states/eV/atom

a b c (Å): 3.957 9.703 9.703
angles (deg): 90.00 90.00 90.00
Fractional coordinates of all 20 atoms:
La 0.000 0.677 0.177
La 0.000 0.323 0.823
La 0.000 0.177 0.323
La 0.000 0.823 0.677
In 0.000 0.000 0.000
In 0.000 0.500 0.500
Cu 0.000 0.120 0.620
Cu 0.000 0.880 0.380
Cu 0.000 0.620 0.880
Cu 0.000 0.380 0.120
Pt 0.500 0.211 0.066
Pt 0.500 0.789 0.934
Pt 0.500 0.066 0.789
Pt 0.500 0.711 0.434
Pt 0.500 0.934 0.211
Pt 0.500 0.289 0.566
Pt 0.500 0.566 0.711
Pt 0.500 0.434 0.289
Pt 0.500 0.500 0.000
Pt 0.500 0.000 0.500